Version a
MnCoRe2: relaxed, GGA-PBE.

Calculated values
Spin magnetization, μB per formula unit: 1.8
Crystal system: monoclinic

Structure (CIF):
```
data_MnCoRe2
_cell_length_a 8.6847
_cell_length_b 2.6735
_cell_length_c 4.6376
_cell_angle_alpha 90.00
_cell_angle_beta 99.94
_cell_angle_gamma 90.00
_symmetry_space_group_name_H-M 'C 1 2/m 1'
_symmetry_Int_Tables_number 12
loop_
_symmetry_equiv_pos_as_xyz
'x,y,z'
'-x,-y,-z'
'-x,y,-z'
'x,-y,z'
'x+1/2,y+1/2,z'
'-x+1/2,-y+1/2,-z'
'-x+1/2,y+1/2,-z'
'x+1/2,-y+1/2,z'
loop_
_atom_site_label
_atom_site_fract_x
_atom_site_fract_y
_atom_site_fract_z
Mn1 0.0000 0.0000 0.0000
Co1 0.0000 0.5000 0.5000
Re1 0.2455 0.0000 0.7467
```


Version b
MnCoRe2: relaxed, GGA-PBE.

Calculated values
Spin magnetization, μB per formula unit: 1.5
Crystal system: monoclinic

Structure (CIF):
```
data_MnCoRe2
_cell_length_a 8.6965
_cell_length_b 2.6546
_cell_length_c 4.5810
_cell_angle_alpha 90.00
_cell_angle_beta 99.61
_cell_angle_gamma 90.00
_symmetry_space_group_name_H-M 'C 1 m 1'
_symmetry_Int_Tables_number 8
loop_
_symmetry_equiv_pos_as_xyz
'x,y,z'
'x,-y,z'
'x+1/2,y+1/2,z'
'x+1/2,-y+1/2,z'
loop_
_atom_site_label
_atom_site_fract_x
_atom_site_fract_y
_atom_site_fract_z
Mn1 0.0000 0.0000 0.0000
Co1 0.2492 0.5000 0.2512
Re1 0.2518 0.0000 0.7629
Re2 0.4936 0.0000 0.4752
```


Version c
MnCoRe2: relaxed, GGA-PBE.

Calculated values
Spin magnetization, μB per formula unit: 1.7
Crystal system: orthorhombic

Structure (CIF):
```
data_MnCoRe2
_cell_length_a 2.6597
_cell_length_b 3.7144
_cell_length_c 5.3010
_cell_angle_alpha 90.00
_cell_angle_beta 90.00
_cell_angle_gamma 90.00
_symmetry_space_group_name_H-M 'P m m 2'
_symmetry_Int_Tables_number 25
loop_
_symmetry_equiv_pos_as_xyz
'x,y,z'
'-x,-y,z'
'-x,y,z'
'x,-y,z'
loop_
_atom_site_label
_atom_site_fract_x
_atom_site_fract_y
_atom_site_fract_z
Mn1 0.0000 0.0000 0.0000
Co1 0.5000 0.5000 0.7669
Re1 0.0000 0.0000 0.5317
Re2 0.5000 0.5000 0.2455
```


Going by the energies, version b is most stable and the next is 23 meV/atom up.


Version a
MnCoRe2: relaxed, GGA-PBE.

Calculated values
Spin magnetization, μB per formula unit: 0.0
Crystal system: trigonal

Structure (CIF):
```
data_MnCoRe2
_cell_length_a 2.6665
_cell_length_b 2.6665
_cell_length_c 25.5124
_cell_angle_alpha 90.00
_cell_angle_beta 90.00
_cell_angle_gamma 120.00
_symmetry_space_group_name_H-M 'R -3 m'
_symmetry_Int_Tables_number 166
_symmetry_space_group_name_Hall '-R 3 2"'
loop_
_atom_site_label
_atom_site_fract_x
_atom_site_fract_y
_atom_site_fract_z
Mn1 0.0000 0.0000 0.0000
Co1 0.0000 0.0000 0.5000
Re1 0.0000 0.0000 0.2500
```


Version b
MnCoRe2: relaxed, GGA-PBE.

Calculated values
Spin magnetization, μB per formula unit: 0.0
Crystal system: cubic

Structure (CIF):
```
data_MnCoRe2
_cell_length_a 5.9089
_cell_length_b 5.9089
_cell_length_c 5.9089
_cell_angle_alpha 90.00
_cell_angle_beta 90.00
_cell_angle_gamma 90.00
_symmetry_space_group_name_H-M 'F m -3 m'
_symmetry_Int_Tables_number 225
_symmetry_space_group_name_Hall '-F 4 2 3'
loop_
_atom_site_label
_atom_site_fract_x
_atom_site_fract_y
_atom_site_fract_z
Mn1 0.0000 0.0000 0.0000
Co1 0.0000 0.0000 0.5000
Re1 0.2500 0.2500 0.2500
```


Version c
MnCoRe2: relaxed, GGA-PBE.

Calculated values
Spin magnetization, μB per formula unit: 0.3
Crystal system: orthorhombic

Structure (CIF):
```
data_MnCoRe2
_cell_length_a 2.6448
_cell_length_b 3.6627
_cell_length_c 5.3189
_cell_angle_alpha 90.00
_cell_angle_beta 90.00
_cell_angle_gamma 90.00
_symmetry_space_group_name_H-M 'P m m m'
_symmetry_Int_Tables_number 47
loop_
_symmetry_equiv_pos_as_xyz
'x,y,z'
'-x,-y,-z'
'-x,-y,z'
'x,y,-z'
'x,-y,-z'
'-x,y,z'
'-x,y,-z'
'x,-y,z'
loop_
_atom_site_label
_atom_site_fract_x
_atom_site_fract_y
_atom_site_fract_z
Mn1 0.0000 0.0000 0.0000
Co1 0.0000 0.0000 0.5000
Re1 0.5000 0.5000 0.2455
```


Going by the energies, version c is most stable and the next is 76 meV/atom up.


Version a
MnCo6Re: relaxed, GGA-PBE.

Calculated values
Spin magnetization, μB per formula unit: 2.7
Crystal system: orthorhombic

Structure (CIF):
```
data_MnCo6Re
_cell_length_a 7.0914
_cell_length_b 10.0440
_cell_length_c 10.0386
_cell_angle_alpha 90.00
_cell_angle_beta 90.00
_cell_angle_gamma 90.00
_symmetry_space_group_name_H-M 'C m m m'
_symmetry_Int_Tables_number 65
_symmetry_space_group_name_Hall '-C 2 2'
loop_
_atom_site_label
_atom_site_fract_x
_atom_site_fract_y
_atom_site_fract_z
Mn1 0.0000 0.0000 0.2472
Mn2 0.0000 0.2523 0.0000
Co1 0.0000 0.0000 0.0000
Co2 0.0000 0.0000 0.5000
Co3 0.0000 0.2508 0.2506
Co4 0.0000 0.5000 0.0000
Co5 0.0000 0.5000 0.5000
Co6 0.2495 0.1250 0.1239
Co7 0.2504 0.1252 0.3755
Re1 0.0000 0.2507 0.5000
Re2 0.0000 0.5000 0.2458
```


Version b
MnCo6Re: relaxed, GGA-PBE.

Calculated values
Spin magnetization, μB per formula unit: 4.9
Crystal system: orthorhombic

Structure (CIF):
```
data_MnCo6Re
_cell_length_a 4.0310
_cell_length_b 5.0389
_cell_length_c 4.3582
_cell_angle_alpha 90.00
_cell_angle_beta 90.00
_cell_angle_gamma 90.00
_symmetry_space_group_name_H-M 'P m m 2'
_symmetry_Int_Tables_number 25
loop_
_symmetry_equiv_pos_as_xyz
'x,y,z'
'-x,-y,z'
'-x,y,z'
'x,-y,z'
loop_
_atom_site_label
_atom_site_fract_x
_atom_site_fract_y
_atom_site_fract_z
Mn1 0.0000 0.0000 0.0000
Co1 0.0000 0.2446 0.4989
Co2 0.0000 0.5000 0.9883
Co3 0.5000 0.0000 0.3340
Co4 0.5000 0.2464 0.8315
Re1 0.5000 0.5000 0.3294
```


Going by the energies, version b is most stable and the next is 14 meV/atom up.


Version a
MnCoReSe: relaxed, GGA-PBE.

Calculated values
Spin magnetization, μB per formula unit: 0.8
Crystal system: monoclinic

Structure (CIF):
```
data_MnCoReSe
_cell_length_a 8.0861
_cell_length_b 3.0926
_cell_length_c 5.6502
_cell_angle_alpha 90.00
_cell_angle_beta 127.60
_cell_angle_gamma 90.00
_symmetry_space_group_name_H-M 'C 1 m 1'
_symmetry_Int_Tables_number 8
loop_
_symmetry_equiv_pos_as_xyz
'x,y,z'
'x,-y,z'
'x+1/2,y+1/2,z'
'x+1/2,-y+1/2,z'
loop_
_atom_site_label
_atom_site_fract_x
_atom_site_fract_y
_atom_site_fract_z
Mn1 0.0000 0.0000 0.0000
Co1 0.4028 0.0000 0.2867
Re1 0.2549 0.5000 0.4417
Se1 0.1367 0.5000 0.8196
```


Version b
MnCoReSe: relaxed, GGA-PBE.

Calculated values
Spin magnetization, μB per formula unit: 0.6
Crystal system: tetragonal

Structure (CIF):
```
data_MnCoReSe
_cell_length_a 3.2018
_cell_length_b 3.2018
_cell_length_c 5.3854
_cell_angle_alpha 90.00
_cell_angle_beta 90.00
_cell_angle_gamma 90.00
_symmetry_space_group_name_H-M 'P 4 m m'
_symmetry_Int_Tables_number 99
loop_
_symmetry_equiv_pos_as_xyz
'x,y,z'
'-y,x,z'
'-x,-y,z'
'y,-x,z'
'-x,y,z'
'y,x,z'
'x,-y,z'
'-y,-x,z'
loop_
_atom_site_label
_atom_site_fract_x
_atom_site_fract_y
_atom_site_fract_z
Mn1 0.0000 0.0000 0.0000
Co1 0.0000 0.0000 0.5289
Re1 0.5000 0.5000 0.7461
Se1 0.5000 0.5000 0.2502
```


Going by the energies, version b is most stable and the next is 63 meV/atom up.


Version a
Mn2CoRh2: relaxed, GGA-PBE.

Calculated values
Spin magnetization, μB per formula unit: 1.1
Crystal system: tetragonal

Structure (CIF):
```
data_Mn2CoRh2
_cell_length_a 7.0418
_cell_length_b 7.0418
_cell_length_c 2.6234
_cell_angle_alpha 90.00
_cell_angle_beta 90.00
_cell_angle_gamma 90.00
_symmetry_space_group_name_H-M 'P 4/m b m'
_symmetry_Int_Tables_number 127
_symmetry_space_group_name_Hall '-P 4 2ab'
loop_
_atom_site_label
_atom_site_fract_x
_atom_site_fract_y
_atom_site_fract_z
Mn1 0.1687 0.3313 0.0000
Co1 0.0000 0.0000 0.5000
Rh1 0.1304 0.6304 0.5000
```


Version b
Mn2CoRh2: relaxed, GGA-PBE.

Calculated values
Spin magnetization, μB per formula unit: 1.9
Crystal system: tetragonal

Structure (CIF):
```
data_Mn2CoRh2
_cell_length_a 7.0021
_cell_length_b 7.0021
_cell_length_c 2.6481
_cell_angle_alpha 90.00
_cell_angle_beta 90.00
_cell_angle_gamma 90.00
_symmetry_space_group_name_H-M 'P 4/m b m'
_symmetry_Int_Tables_number 127
_symmetry_space_group_name_Hall '-P 4 2ab'
loop_
_atom_site_label
_atom_site_fract_x
_atom_site_fract_y
_atom_site_fract_z
Mn1 0.1157 0.3843 0.0000
Co1 0.0000 0.0000 0.0000
Rh1 0.1773 0.6773 0.5000
```


Going by the energies, version b is most stable and the next is 114 meV/atom up.


Version a
MnCoRh3: relaxed, GGA-PBE.

Calculated values
Spin magnetization, μB per formula unit: 2.4
Crystal system: cubic

Structure (CIF):
```
data_MnCoRh3
_cell_length_a 4.3994
_cell_length_b 4.3994
_cell_length_c 4.3994
_cell_angle_alpha 90.00
_cell_angle_beta 90.00
_cell_angle_gamma 90.00
_symmetry_space_group_name_H-M 'P m -3 m'
_symmetry_Int_Tables_number 221
_symmetry_space_group_name_Hall '-P 4 2 3'
loop_
_atom_site_label
_atom_site_fract_x
_atom_site_fract_y
_atom_site_fract_z
Mn1 0.0000 0.0000 0.0000
Co1 0.5000 0.5000 0.5000
Rh1 0.0000 0.0000 0.5000
```


Version b
MnCoRh3: relaxed, GGA-PBE.

Calculated values
Spin magnetization, μB per formula unit: 0.1
Crystal system: cubic

Structure (CIF):
```
data_MnCoRh3
_cell_length_a 4.3844
_cell_length_b 4.3844
_cell_length_c 4.3844
_cell_angle_alpha 90.00
_cell_angle_beta 90.00
_cell_angle_gamma 90.00
_symmetry_space_group_name_H-M 'P m -3 m'
_symmetry_Int_Tables_number 221
_symmetry_space_group_name_Hall '-P 4 2 3'
loop_
_atom_site_label
_atom_site_fract_x
_atom_site_fract_y
_atom_site_fract_z
Mn1 0.0000 0.0000 0.0000
Co1 0.5000 0.5000 0.5000
Rh1 0.0000 0.5000 0.5000
```


Going by the energies, version a is most stable and the next is 310 meV/atom up.